(1)
The following is a DFT calculation (PBE) of a geometry-optimized SmTmPdPt structure.

Results
Calculated total energy in eV/atom: -6.1361
E_form in meV per atom: -1030
Distance to the lowest polymorph of the same formula in meV per atom: 50.3

abc: 7.034 7.034 7.034
angles: 90.00 90.00 90.00
Positions (direct):
Sm  0.000  0.000  0.000
Sm  0.000  0.500  0.500
Sm  0.500  0.000  0.500
Sm  0.500  0.500  0.000
Tm  0.000  0.000  0.500
Tm  0.000  0.500  0.000
Tm  0.500  0.000  0.000
Tm  0.500  0.500  0.500
Pd  0.250  0.250  0.250
Pd  0.250  0.750  0.750
Pd  0.750  0.250  0.750
Pd  0.750  0.750  0.250
Pt  0.250  0.250  0.750
Pt  0.250  0.750  0.250
Pt  0.750  0.250  0.250
Pt  0.750  0.750  0.750

---

(2)
The following is a DFT calculation (PBE) of a geometry-optimized YVSe3 structure.

Results
Calculated total energy in eV/atom: -5.9305
Distance to the lowest polymorph of the same formula in meV per atom: 0.0
Energy relative to the elements, uncorrected in eV per atom: -0.7233

abc: 4.885 4.885 4.885
angles: 90.00 90.00 90.00
Positions (direct):
Y  0.000  0.000  0.000
V  0.500  0.500  0.500
Se  0.000  0.500  0.500
Se  0.500  0.000  0.500
Se  0.500  0.500  0.000

---

(3)
The following is a DFT calculation (PBE) of a geometry-optimized Sm2Tm3In3 structure.

Results
Calculated total energy in eV/atom: -4.2192
E_form in meV per atom: -336
Distance to the lowest polymorph of the same formula in meV per atom: 4.5

abc: 4.526 4.836 20.071
angles: 90.00 90.00 90.00
Positions (direct):
Sm  0.000  0.000  0.241
Sm  0.000  0.000  0.759
Sm  0.500  0.500  0.259
Sm  0.500  0.500  0.741
Tm  0.000  0.000  0.000
Tm  0.000  0.500  0.117
Tm  0.000  0.500  0.883
Tm  0.500  0.000  0.383
Tm  0.500  0.000  0.617
Tm  0.500  0.500  0.500
In  0.000  0.000  0.500
In  0.000  0.500  0.378
In  0.000  0.500  0.622
In  0.500  0.000  0.122
In  0.500  0.000  0.878
In  0.500  0.500  0.000

---

(4)
The following is a DFT calculation (PBE) of a geometry-optimized Hf5Pt2Rh structure.

Results
Calculated total energy in eV/atom: -9.3719
E_form in meV per atom: -722

abc: 6.658 10.653 4.478
angles: 90.00 90.00 90.00
Positions (direct):
Hf  0.000  0.000  0.000
Hf  0.157  0.283  0.000
Hf  0.174  0.594  0.500
Hf  0.326  0.094  0.500
Hf  0.343  0.783  0.000
Hf  0.500  0.500  0.000
Hf  0.657  0.217  0.000
Hf  0.674  0.906  0.500
Hf  0.826  0.406  0.500
Hf  0.843  0.717  0.000
Pt  0.071  0.846  0.500
Pt  0.429  0.346  0.500
Pt  0.571  0.654  0.500
Pt  0.929  0.154  0.500
Rh  0.000  0.500  0.000
Rh  0.500  0.000  0.000